Mn2HgW after structural relaxation, computed with GGA-PBE.

Output
formation energy from the elements = 0.67 eV/atom
magnetization = 4.8 μB per formula unit
N(E_F) = 4.4 states/eV/f.u.
VASP energy = -7.224 eV per atom

a = 6.3168 Å, b = 6.3168 Å, c = 6.3168 Å
α = 90.00°, β = 90.00°, γ = 90.00°
Last column: nearest neighbours and their distance in Å.
Space group F-43m (No. 216)
Symmetry-distinct sites (fractional):
Mn 0.0000 0.0000 0.0000 x4  4 Hg 2.74, 4 Mn 2.74
Mn 0.2500 0.2500 0.2500 x4  4 Mn 2.74, 4 W 2.74
Hg 0.2500 0.2500 0.7500 x4  4 Mn 2.74, 4 W 2.74
W 0.0000 0.0000 0.5000 x4  4 Mn 2.74, 4 Hg 2.74

---

CsRb2Pb2F7 after structural relaxation, computed with GGA-PBE.

Output
formation energy from raw total energies = -30.5 eV/f.u.
magnetization = 0.0 μB per formula unit
N(E_F) = 0.0 states/eV/f.u.
VASP energy = -4.483 eV per atom

a = 6.9199 Å, b = 6.8960 Å, c = 12.5439 Å
α = 90.00°, β = 105.93°, γ = 90.00°
Last column: nearest neighbours and their distance in Å.
Space group C2/m (No. 12)
Symmetry-distinct sites (fractional):
Cs 0.0000 0.0000 0.0000 x2  12 F 3.45-3.55
Rb 0.1568 0.0000 0.3733 x4  1 F 2.69
Pb 0.0966 0.5000 0.2078 x4  6 F 2.38-2.51
F 0.0000 0.5000 0.0000 x2  2 Pb 2.51
F 0.1542 0.2495 0.7898 x8  2 Pb 2.43-2.45
F 0.2318 0.5000 0.4039 x4  1 Pb 2.38

---

CrIn2Ir after structural relaxation, computed with GGA-PBE.

Output
formation energy from the elements = 0.18 eV/atom
magnetization = 3.6 μB per formula unit
N(E_F) = 1.6 states/eV/f.u.
VASP energy = -5.808 eV per atom

a = 3.1012 Å, b = 3.1012 Å, c = 7.5321 Å
α = 90.00°, β = 90.00°, γ = 90.00°
Last column: nearest neighbours and their distance in Å.
Space group P4/mmm (No. 123)
Symmetry-distinct sites (fractional):
Cr 0.0000 0.0000 0.0000 x1  8 In 2.95, 4 Cr 3.10
In 0.5000 0.5000 0.2629 x2  4 Ir 2.83, 4 Cr 2.95, 4 In 3.10
Ir 0.0000 0.0000 0.5000 x1  8 In 2.83, 4 Ir 3.10

---

Co2RhCl8 after structural relaxation, computed with GGA-PBE.

Output
formation energy from raw total energies = -5.9 eV/f.u.
magnetization = 7.0 μB per formula unit
N(E_F) = 7.4 states/eV/f.u.
VASP energy = -3.844 eV per atom

a = 14.5868 Å, b = 7.3716 Å, c = 5.9986 Å
α = 90.00°, β = 91.94°, γ = 90.00°
Last column: nearest neighbours and their distance in Å.
Space group C2/m (No. 12)
Symmetry-distinct sites (fractional):
Co 0.1490 0.0000 0.4305 x4  4 Cl 2.13-2.27
Rh 0.0000 0.0000 0.0000 x2  6 Cl 2.37-2.38
Cl 0.0680 0.2187 0.2429 x8  1 Co 2.27, 1 Rh 2.37
Cl 0.1376 0.0000 0.7977 x4  1 Co 2.21, 1 Rh 2.38
Cl 0.2097 0.5000 0.6453 x4  1 Co 2.13

---

ScFe2PtW after structural relaxation, computed with GGA-PBE.

Output
formation energy from the elements = 0.81 eV/atom
magnetization = 2.6 μB per formula unit
N(E_F) = 5.8 states/eV/f.u.
VASP energy = -7.638 eV per atom

a = 4.4545 Å, b = 4.4545 Å, c = 4.9227 Å
α = 90.00°, β = 90.00°, γ = 90.00°
Last column: nearest neighbours and their distance in Å.
Space group P4/mmm (No. 123)
Symmetry-distinct sites (fractional):
Sc 0.0000 0.0000 0.0000 x1  4 Pt 3.15, 8 Fe 3.32
Fe 0.0000 0.5000 0.5000 x2  2 W 2.23
Pt 0.5000 0.5000 0.0000 x1  2 W 2.46
W 0.5000 0.5000 0.5000 x1  4 Fe 2.23, 2 Pt 2.46

---

HfZrZn2 after structural relaxation, computed with GGA-PBE.

Output
formation energy from the elements = -0.24 eV/atom
magnetization = 0.0 μB per formula unit
N(E_F) = 0.5 states/eV/f.u.
VASP energy = -5.498 eV per atom

a = 6.6434 Å, b = 6.6434 Å, c = 6.6434 Å
α = 90.00°, β = 90.00°, γ = 90.00°
Last column: nearest neighbours and their distance in Å.
Space group Fm-3m (No. 225)
Symmetry-distinct sites (fractional):
Hf 0.0000 0.0000 0.0000 x4  8 Zn 2.88
Zr 0.0000 0.0000 0.5000 x4  8 Zn 2.88
Zn 0.2500 0.2500 0.2500 x8  4 Hf 2.88, 4 Zr 2.88